1.
VNiRhS4 | PBE | relaxed

Structure (POSCAR):
```
VNiRhS4
1.0
-5.5613 -0.9480 3.5036
-0.1666 -5.0374 4.6664
-0.0981 1.8048 6.6266
V Ni Rh S
2 2 2 8
Direct
0.5000 0.0000 0.5000
0.0000 0.0000 0.5000
0.6306 0.6194 0.1194
0.3694 0.3806 0.8806
0.0000 0.0000 0.0000
0.0000 0.5000 0.5000
0.7516 0.7570 0.7399
0.2484 0.7601 0.7430
0.7516 0.2399 0.2570
0.2484 0.2430 0.2601
0.2371 0.7544 0.2544
0.7540 0.7544 0.2544
0.2460 0.2456 0.7456
0.7629 0.2456 0.7456
```

Properties
Electronic total energy in eV per atom: -6.153
Size of the total moment in μB per cell: 1.9
Formation energy from raw total energies in eV per atom: -0.615
Density of states at the Fermi level in states/eV/atom: 0.9251

2.
V2Ni2RhS6 | PBE | relaxed

Structure (POSCAR):
```
V2Ni2RhS6
1.0
-1.1380 -5.5290 -1.5470
4.4231 3.1911 -2.1240
2.5329 -1.2596 5.3762
V Ni Rh S
2 2 1 6
Direct
0.3722 0.6278 0.5000
0.6278 0.3722 0.5000
0.8284 0.1716 0.0000
0.1716 0.8284 0.0000
0.0000 0.0000 0.5000
0.7535 0.7535 0.7797
0.0428 0.4185 0.7310
0.2465 0.2465 0.2203
0.4185 0.0428 0.7310
0.9572 0.5815 0.2690
0.5815 0.9572 0.2690
```

Properties
Electronic total energy in eV per atom: -6.112
Size of the total moment in μB per cell: 0.0
Formation energy from raw total energies in eV per atom: -0.484
Density of states at the Fermi level in states/eV/atom: 0.5963